# Sr10Cu5Mo3W2O30

A geometry-optimized Sr10Cu5Mo3W2O30 structure (GGA-PBEsol, the Alexandria database).

a b c (Å): 5.3424 5.7001 22.8203
angles (deg): 88.93 83.28 62.06
Space group P-1 (No. 2)
Inequivalent atoms, fractional coordinates:
Sr: 0.0496 0.0498 0.3504 (multiplicity 2)
Sr: 0.1497 0.1496 0.0501 (multiplicity 2)
Sr: 0.2500 0.2508 0.7488 (multiplicity 2)
Sr: 0.3502 0.3499 0.4502 (multiplicity 2)
Sr: 0.4503 0.4490 0.1511 (multiplicity 2)
Cu: 0.0996 0.1002 0.2010 (multiplicity 2)
Cu: 0.3000 0.3001 0.5997 (multiplicity 2)
Cu: 0.5000 0.5000 0.0000 (multiplicity 1)
Mo: 0.0000 0.0000 0.5000 (multiplicity 1)
Mo: 0.3997 0.3997 0.3006 (multiplicity 2)
W: 0.2001 0.2006 0.8995 (multiplicity 2)
O: 0.0218 0.9183 0.1397 (multiplicity 2)
O: 0.0620 0.5174 0.8545 (multiplicity 2)
O: 0.0829 0.5805 0.3603 (multiplicity 2)
O: 0.1154 0.6213 0.0399 (multiplicity 2)
O: 0.1327 0.6859 0.5450 (multiplicity 2)
O: 0.1791 0.2825 0.2613 (multiplicity 2)
O: 0.2210 0.1170 0.5394 (multiplicity 2)
O: 0.2663 0.7139 0.2557 (multiplicity 2)
O: 0.2834 0.7805 0.7589 (multiplicity 2)
O: 0.3171 0.8191 0.4405 (multiplicity 2)
O: 0.3382 0.8842 0.9446 (multiplicity 2)
O: 0.3791 0.4833 0.6599 (multiplicity 2)
O: 0.4217 0.3197 0.9386 (multiplicity 2)
O: 0.4672 0.9146 0.6543 (multiplicity 2)
O: 0.4848 0.9781 0.1611 (multiplicity 2)

N(E_F) ... 9.524 states/eV/f.u.
Theoretical density ... 6.35 g cm⁻³
Total magnetization ... 3.59 μB per cell
Electronic total energy ... -372.0 eV for the cell shown